Entry 1:
Here is a relaxed structure of Ho2Ag3GeTe6 from Alexandria via LeMat-Bulk. Energies are from PBE.

Lattice parameters (Å, degrees): 10.4750 10.4750 8.1852 102.28 102.28 23.22
Last column: nearest neighbours and their distance in Å.
Element x y z (fractional)
Ho 0.1751 0.1751 0.3213  6 Te 3.06-3.18
Ho 0.8249 0.8249 0.6787  6 Te 3.06-3.18
Ag 0.2098 0.2098 0.8550  5 Te 2.86-3.05
Ag 0.5000 0.5000 0.5000  4 Te 2.90
Ag 0.7902 0.7902 0.1450  5 Te 2.86-3.05
Ge 0.5000 0.5000 0.0000  6 Te 2.97-3.01
Te 0.0171 0.0171 0.2692  2 Ag 2.90, 2 Ge 3.01, 1 Ho 3.18
Te 0.3286 0.3286 0.4078  2 Ag 2.99, 3 Ho 3.07-3.08
Te 0.3524 0.3524 0.9558  3 Ag 2.86-3.05, 1 Ge 2.97, 2 Ho 3.06
Te 0.6476 0.6476 0.0442  3 Ag 2.86-3.05, 1 Ge 2.97, 2 Ho 3.06
Te 0.6714 0.6714 0.5922  2 Ag 2.99, 3 Ho 3.07-3.08
Te 0.9829 0.9829 0.7308  2 Ag 2.90, 2 Ge 3.01, 1 Ho 3.18

Calculated values
* energy relative to the elements, uncorrected: -53 kJ per mole of atoms
* total energy: -3.98 eV per atom
* crystal system: monoclinic



Entry 2:
Here is a relaxed structure of Ge2Os2Se from Alexandria via LeMat-Bulk. Energies are from PBE.

Lattice parameters (Å, degrees): 7.5129 7.5129 2.8623 90.00 90.00 90.00
Last column: nearest neighbours and their distance in Å.
Element x y z (fractional)
Ge 0.1475 0.3525 0.0000  6 Os 2.62-2.63, 2 Ge 2.86, 2 Se 2.87
Ge 0.3525 0.8525 0.0000  6 Os 2.62-2.63, 2 Ge 2.86, 2 Se 2.87
Ge 0.6475 0.1475 0.0000  6 Os 2.62-2.63, 2 Ge 2.86, 2 Se 2.87
Ge 0.8525 0.6475 0.0000  6 Os 2.62-2.63, 2 Ge 2.86, 2 Se 2.87
Os 0.1458 0.6458 0.5000  6 Ge 2.62-2.63, 2 Os 2.86
Os 0.3542 0.1458 0.5000  6 Ge 2.62-2.63, 2 Os 2.86
Os 0.6458 0.8542 0.5000  6 Ge 2.62-2.63, 2 Os 2.86
Os 0.8542 0.3542 0.5000  6 Ge 2.62-2.63, 2 Os 2.86
Se 0.0000 0.0000 0.0000  2 Se 2.86, 4 Ge 2.87
Se 0.5000 0.5000 0.0000  2 Se 2.86, 4 Ge 2.87

Calculated values
* energy relative to the elements, uncorrected: 60 kJ per mole of atoms
* total energy: -6.42 eV per atom
* crystal system: tetragonal



Entry 3:
Here is a relaxed structure of Na15Mo7N19 from Alexandria via LeMat-Bulk. Energies are from PBE.

Lattice parameters (Å, degrees): 6.2428 11.7453 18.8153 91.62 93.65 102.60
Last column: nearest neighbours and their distance in Å.
Element x y z (fractional)
Na 0.0000 0.0000 0.0000  2 N 2.32
Na 0.0398 0.1439 0.4946  3 N 2.36-2.60
Na 0.0860 0.4807 0.1336  4 N 2.37-2.54
Na 0.1041 0.5896 0.5844  5 N 2.43-2.69
Na 0.1065 0.8100 0.6966  3 N 2.46-2.64
Na 0.1356 0.7333 0.2042  4 N 2.44-2.50
Na 0.1773 0.3390 0.6654  3 N 2.38-2.52
Na 0.2610 0.5019 0.3063  4 N 2.47-2.69
Na 0.3055 0.2698 0.1061  5 N 2.51-2.74
Na 0.3056 0.3897 0.5050  4 N 2.35-2.60
Na 0.3288 0.5786 0.9796  3 N 2.36-2.46
Na 0.3409 0.0246 0.2036  3 N 2.48-2.55
Na 0.4311 0.1304 0.6628  4 N 2.47-2.59
Na 0.4511 0.3511 0.8623  2 N 2.43-2.56
Na 0.4581 0.8773 0.0509  4 N 2.60-2.79
Na 0.5000 0.0000 0.5000  2 N 2.42
Na 0.5419 0.1227 0.9491  4 N 2.60-2.79
Na 0.5489 0.6489 0.1377  2 N 2.43-2.56
Na 0.5689 0.8696 0.3372  4 N 2.47-2.59
Na 0.6591 0.9754 0.7964  3 N 2.48-2.55
Na 0.6712 0.4214 0.0204  3 N 2.36-2.46
Na 0.6944 0.6103 0.4950  4 N 2.35-2.60
Na 0.6945 0.7302 0.8939  5 N 2.51-2.74
Na 0.7390 0.4981 0.6937  4 N 2.47-2.69
Na 0.8227 0.6610 0.3346  3 N 2.38-2.52
Na 0.8644 0.2667 0.7958  4 N 2.44-2.50
Na 0.8935 0.1900 0.3034  3 N 2.46-2.64
Na 0.8959 0.4104 0.4156  5 N 2.43-2.69
Na 0.9140 0.5193 0.8664  4 N 2.37-2.54
Na 0.9602 0.8561 0.5054  3 N 2.36-2.60
Mo 0.0391 0.2672 0.9588  4 N 1.80-1.97
Mo 0.0970 0.9583 0.3565  4 N 1.79-1.91
Mo 0.2069 0.0887 0.8067  4 N 1.78-1.93
Mo 0.2609 0.8327 0.8858  4 N 1.80-1.93
Mo 0.2993 0.7174 0.4441  4 N 1.81-1.96
Mo 0.3278 0.5800 0.7769  4 N 1.80-1.97
Mo 0.4127 0.2517 0.3684  4 N 1.79-1.93
Mo 0.5873 0.7483 0.6316  4 N 1.79-1.93
Mo 0.6722 0.4200 0.2231  4 N 1.80-1.97
Mo 0.7007 0.2826 0.5559  4 N 1.81-1.96
Mo 0.7391 0.1673 0.1142  4 N 1.80-1.93
Mo 0.7931 0.9113 0.1933  4 N 1.78-1.93
Mo 0.9030 0.0417 0.6435  4 N 1.79-1.91
Mo 0.9609 0.7328 0.0412  4 N 1.80-1.97
N 0.0335 0.6177 0.4458  1 Mo 1.81
N 0.0383 0.1322 0.7266  2 Mo 1.91-1.93
N 0.0740 0.8244 0.9618  2 Mo 1.89-1.94
N 0.1011 0.4542 0.7627  1 Mo 1.81
N 0.1135 0.0054 0.5927  1 Mo 1.79
N 0.1238 0.1610 0.8881  2 Mo 1.89-1.97
N 0.1633 0.9228 0.8108  2 Mo 1.91-1.93
N 0.1762 0.6671 0.0795  1 Mo 1.81
N 0.1901 0.3230 0.3776  1 Mo 1.79
N 0.2537 0.6791 0.8539  2 Mo 1.88-1.97
N 0.2565 0.8698 0.4130  2 Mo 1.89-1.96
N 0.2805 0.3754 0.9908  1 Mo 1.80
N 0.2971 0.0949 0.3292  2 Mo 1.91-1.93
N 0.3744 0.6651 0.6890  2 Mo 1.89-1.96
N 0.4239 0.4634 0.1924  1 Mo 1.80
N 0.4455 0.7445 0.5390  2 Mo 1.90-1.94
N 0.4636 0.0949 0.0824  1 Mo 1.80
N 0.4780 0.6620 0.3862  1 Mo 1.81
N 0.4904 0.1483 0.7956  1 Mo 1.78
N 0.5096 0.8517 0.2044  1 Mo 1.78
N 0.5220 0.3380 0.6138  1 Mo 1.81
N 0.5364 0.9051 0.9176  1 Mo 1.80
N 0.5545 0.2555 0.4610  2 Mo 1.90-1.94
N 0.5761 0.5366 0.8076  1 Mo 1.80
N 0.6256 0.3349 0.3110  2 Mo 1.89-1.96
N 0.7029 0.9051 0.6708  2 Mo 1.91-1.93
N 0.7195 0.6246 0.0092  1 Mo 1.80
N 0.7435 0.1302 0.5870  2 Mo 1.89-1.96
N 0.7463 0.3209 0.1461  2 Mo 1.88-1.97
N 0.8099 0.6770 0.6224  1 Mo 1.79
N 0.8238 0.3329 0.9205  1 Mo 1.81
N 0.8367 0.0772 0.1892  2 Mo 1.91-1.93
N 0.8762 0.8390 0.1119  2 Mo 1.89-1.97
N 0.8865 0.9946 0.4073  1 Mo 1.79
N 0.8989 0.5458 0.2373  1 Mo 1.81
N 0.9260 0.1756 0.0382  2 Mo 1.89-1.94
N 0.9617 0.8678 0.2734  2 Mo 1.91-1.93
N 0.9665 0.3823 0.5542  1 Mo 1.81

Calculated values
* energy relative to the elements, uncorrected: -37 kJ per mole of atoms
* total energy: -6.58 eV per atom
* crystal system: triclinic



Entry 4:
Here is a relaxed structure of Ce6CoHg2Ir from Alexandria via LeMat-Bulk. Energies are from PBE.

Lattice parameters (Å, degrees): 7.1319 7.1345 7.5111 61.77 61.86 89.99
Last column: nearest neighbours and their distance in Å.
Element x y z (fractional)
Ce 0.1585 0.1788 0.0058  1 Co 2.55, 1 Ir 2.74
Ce 0.2539 0.7460 0.4991  1 Ir 2.79, 1 Co 2.80
Ce 0.3197 0.6610 0.9994  1 Co 2.55, 1 Ir 2.74
Ce 0.6803 0.3390 0.0006  1 Co 2.55, 1 Ir 2.74
Ce 0.7461 0.2540 0.5009  1 Ir 2.79, 1 Co 2.80
Ce 0.8415 0.8212 0.9942  1 Co 2.55, 1 Ir 2.74
Co 0.0000 0.5000 0.0000  6 Ce 2.55-2.80
Hg 0.2499 0.2499 0.5004  8 Ce 3.27-3.60
Hg 0.7501 0.7501 0.4996  8 Ce 3.27-3.60
Ir 0.5000 0.0000 0.0000  6 Ce 2.74-2.79

Calculated values
* total energy: -5.45 eV per atom
* ΔH_f (0 K): -0.234 eV/atom
* crystal system: triclinic



Entry 5:
Here is a relaxed structure of ZrZn2Au3 from Alexandria via LeMat-Bulk. Energies are from PBE.

Lattice parameters (Å, degrees): 4.5844 4.5844 11.6785 90.00 90.00 120.00
Last column: nearest neighbours and their distance in Å.
Element x y z (fractional)
Zr 0.3333 0.6667 0.1727  8 Au 2.87-2.96, 3 Zn 3.20
Zr 0.6667 0.3333 0.8273  8 Au 2.87-2.96, 3 Zn 3.20
Zn 0.0000 0.0000 0.0000  6 Au 2.78
Zn 0.0000 0.0000 0.5000  8 Au 2.68-2.78
Zn 0.3333 0.6667 0.6734  8 Au 2.73-2.96
Zn 0.6667 0.3333 0.3266  8 Au 2.73-2.96
Au 0.0000 0.0000 0.2704  4 Zn 2.68-2.73, 3 Zr 2.88
Au 0.0000 0.0000 0.7296  4 Zn 2.68-2.73, 3 Zr 2.88
Au 0.3333 0.6667 0.4259  7 Zn 2.78-2.89, 1 Zr 2.96
Au 0.3333 0.6667 0.9269  4 Zn 2.78-2.96, 4 Zr 2.87-2.89
Au 0.6667 0.3333 0.0731  4 Zn 2.78-2.96, 4 Zr 2.87-2.89
Au 0.6667 0.3333 0.5741  7 Zn 2.78-2.89, 1 Zr 2.96

Calculated values
* total energy: -3.85 eV per atom
* ΔH_f (0 K): -0.358 eV/atom
* crystal system: trigonal



Entry 6:
Here is a relaxed structure of K3SbI6 from Alexandria via LeMat-Bulk. Energies are from PBE.

Lattice parameters (Å, degrees): 8.9951 8.9951 8.9951 60.00 60.00 60.00
Last column: nearest neighbours and their distance in Å.
Element x y z (fractional)
K 0.0000 0.0000 0.0000  6 I 3.35
K 0.2500 0.2500 0.2500  12 I 4.50
K 0.7500 0.7500 0.7500  12 I 4.50
Sb 0.5000 0.5000 0.5000  6 I 3.01
I 0.2631 0.2631 0.7369  1 Sb 3.01, 1 K 3.35
I 0.2631 0.7369 0.2631  1 Sb 3.01, 1 K 3.35
I 0.2631 0.7369 0.7369  1 Sb 3.01, 1 K 3.35
I 0.7369 0.2631 0.2631  1 Sb 3.01, 1 K 3.35
I 0.7369 0.2631 0.7369  1 Sb 3.01, 1 K 3.35
I 0.7369 0.7369 0.2631  1 Sb 3.01, 1 K 3.35

Calculated values
* energy relative to the elements, uncorrected: -89 kJ per mole of atoms
* total energy: -2.60 eV per atom
* crystal system: cubic



Entry 7:
Here is a relaxed structure of KTe2O4 from Alexandria via LeMat-Bulk. Energies are from PBE.

Lattice parameters (Å, degrees): 6.0102 6.0102 8.9512 90.00 90.00 116.57
Last column: nearest neighbours and their distance in Å.
Element x y z (fractional)
K 0.0000 0.0000 0.2500  4 O 2.78
K 0.0000 0.0000 0.7500  4 O 2.78
Te 0.2935 0.6836 0.0000  3 O 1.88-2.06
Te 0.3164 0.7065 0.5000  3 O 1.88-2.06
Te 0.6836 0.2935 0.5000  3 O 1.88-2.06
Te 0.7065 0.3164 0.0000  3 O 1.88-2.06
O 0.0000 0.5000 0.1434  2 Te 2.06
O 0.0000 0.5000 0.8566  2 Te 2.06
O 0.0182 0.7354 0.5000  1 Te 1.88
O 0.2646 0.9818 0.0000  1 Te 1.88
O 0.5000 0.0000 0.3566  2 Te 2.06
O 0.5000 0.0000 0.6434  2 Te 2.06
O 0.7354 0.0182 0.0000  1 Te 1.88
O 0.9818 0.2646 0.5000  1 Te 1.88

Calculated values
* energy relative to the elements, uncorrected: -103 kJ per mole of atoms
* total energy: -4.96 eV per atom
* crystal system: orthorhombic



Entry 8:
Here is a relaxed structure of Er4RhPb from Alexandria via LeMat-Bulk. Energies are from PBE.

Lattice parameters (Å, degrees): 5.6539 6.7142 8.5743 90.00 101.41 90.00
Last column: nearest neighbours and their distance in Å.
Element x y z (fractional)
Er 0.1381 0.2500 0.0613  1 Rh 2.74
Er 0.2109 0.7500 0.3495  1 Rh 2.89
Er 0.3303 0.5062 0.7681  2 Rh 2.76-2.85
Er 0.3303 0.9938 0.7681  2 Rh 2.76-2.85
Er 0.6697 0.0062 0.2319  2 Rh 2.76-2.85
Er 0.6697 0.4938 0.2319  2 Rh 2.76-2.85
Er 0.7891 0.2500 0.6505  1 Rh 2.89
Er 0.8619 0.7500 0.9387  1 Rh 2.74
Rh 0.3525 0.7500 0.0435  6 Er 2.74-2.89
Rh 0.6475 0.2500 0.9565  6 Er 2.74-2.89
Pb 0.2261 0.2500 0.4312  7 Er 3.11-3.43
Pb 0.7739 0.7500 0.5688  7 Er 3.11-3.43

Calculated values
* total energy: -5.41 eV per atom
* ΔH_f (0 K): -0.526 eV/atom
* crystal system: monoclinic



Entry 9:
Here is a relaxed structure of ReGeI3 from Alexandria via LeMat-Bulk. Energies are from PBE.

Lattice parameters (Å, degrees): 5.8185 5.8185 5.8185 90.00 90.00 90.00
Last column: nearest neighbours and their distance in Å.
Element x y z (fractional)
Re 0.0000 0.0000 0.0000  12 I 4.11
Ge 0.5000 0.5000 0.5000  6 I 2.91
I 0.0000 0.5000 0.5000  2 Ge 2.91
I 0.5000 0.0000 0.5000  2 Ge 2.91
I 0.5000 0.5000 0.0000  2 Ge 2.91

Calculated values
* energy relative to the elements, uncorrected: 110 kJ per mole of atoms
* total energy: -3.20 eV per atom
* crystal system: cubic



Entry 10:
Here is a relaxed structure of La12Bi3C5 from Alexandria via LeMat-Bulk. Energies are from PBE.

Lattice parameters (Å, degrees): 14.6547 14.6547 14.6547 109.47 109.47 109.47
Last column: nearest neighbours and their distance in Å.
Element x y z (fractional)
La 0.0143 0.1982 0.1106  2 C 2.45-2.71
La 0.0143 0.3161 0.9037  2 C 2.45-2.71
La 0.0875 0.6982 0.6839  2 C 2.45-2.71
La 0.0875 0.8894 0.4037  2 C 2.45-2.71
La 0.0963 0.6106 0.4125  2 C 2.45-2.71
La 0.0963 0.9857 0.6839  2 C 2.45-2.71
La 0.1106 0.0143 0.1982  2 C 2.45-2.71
La 0.1106 0.5963 0.9125  2 C 2.45-2.71
La 0.1839 0.1982 0.5875  2 C 2.45-2.71
La 0.1839 0.4857 0.5963  2 C 2.45-2.71
La 0.1982 0.1106 0.0143  2 C 2.45-2.71
La 0.1982 0.5875 0.1839  2 C 2.45-2.71
La 0.3018 0.3161 0.9125  2 C 2.45-2.71
La 0.3018 0.4857 0.3894  2 C 2.45-2.71
La 0.3161 0.9037 0.0143  2 C 2.45-2.71
La 0.3161 0.9125 0.3018  2 C 2.45-2.71
La 0.3894 0.3018 0.4857  2 C 2.45-2.71
La 0.3894 0.5875 0.9037  2 C 2.45-2.71
La 0.4037 0.0875 0.8894  2 C 2.45-2.71
La 0.4037 0.8161 0.5143  2 C 2.45-2.71
La 0.4125 0.0963 0.6106  2 C 2.45-2.71
La 0.4125 0.8161 0.8018  2 C 2.45-2.71
La 0.4857 0.3894 0.3018  2 C 2.45-2.71
La 0.4857 0.5963 0.1839  2 C 2.45-2.71
La 0.5143 0.4037 0.8161  2 C 2.45-2.71
La 0.5143 0.6106 0.6982  2 C 2.45-2.71
La 0.5875 0.1839 0.1982  2 C 2.45-2.71
La 0.5875 0.9037 0.3894  2 C 2.45-2.71
La 0.5963 0.1839 0.4857  2 C 2.45-2.71
La 0.5963 0.9125 0.1106  2 C 2.45-2.71
La 0.6106 0.4125 0.0963  2 C 2.45-2.71
La 0.6106 0.6982 0.5143  2 C 2.45-2.71
La 0.6839 0.0875 0.6982  2 C 2.45-2.71
La 0.6839 0.0963 0.9857  2 C 2.45-2.71
La 0.6982 0.5143 0.6106  2 C 2.45-2.71
La 0.6982 0.6839 0.0875  2 C 2.45-2.71
La 0.8018 0.4125 0.8161  2 C 2.45-2.71
La 0.8018 0.8894 0.9857  2 C 2.45-2.71
La 0.8161 0.5143 0.4037  2 C 2.45-2.71
La 0.8161 0.8018 0.4125  2 C 2.45-2.71
La 0.8894 0.4037 0.0875  2 C 2.45-2.71
La 0.8894 0.9857 0.8018  2 C 2.45-2.71
La 0.9037 0.0143 0.3161  2 C 2.45-2.71
La 0.9037 0.3894 0.5875  2 C 2.45-2.71
La 0.9125 0.1106 0.5963  2 C 2.45-2.71
La 0.9125 0.3018 0.3161  2 C 2.45-2.71
La 0.9857 0.6839 0.0963  2 C 2.45-2.71
La 0.9857 0.8018 0.8894  2 C 2.45-2.71
Bi 0.1250 0.2500 0.3750  8 La 3.35-3.45
Bi 0.1250 0.3750 0.7500  8 La 3.35-3.45
Bi 0.2500 0.3750 0.1250  8 La 3.35-3.45
Bi 0.2500 0.8750 0.6250  8 La 3.35-3.45
Bi 0.3750 0.1250 0.2500  8 La 3.35-3.45
Bi 0.3750 0.7500 0.1250  8 La 3.35-3.45
Bi 0.6250 0.2500 0.8750  8 La 3.35-3.45
Bi 0.6250 0.8750 0.7500  8 La 3.35-3.45
Bi 0.7500 0.1250 0.3750  8 La 3.35-3.45
Bi 0.7500 0.6250 0.8750  8 La 3.35-3.45
Bi 0.8750 0.6250 0.2500  8 La 3.35-3.45
Bi 0.8750 0.7500 0.6250  8 La 3.35-3.45
C 0.0000 0.0000 0.0000  6 La 2.71
C 0.0000 0.0000 0.5000  6 La 2.71
C 0.0000 0.5000 0.0000  6 La 2.71
C 0.0000 0.5000 0.5000  6 La 2.71
C 0.1250 0.7500 0.8750  4 La 2.45
C 0.1250 0.8750 0.2500  4 La 2.45
C 0.2500 0.1250 0.8750  4 La 2.45
C 0.2500 0.6250 0.3750  4 La 2.45
C 0.3750 0.2500 0.6250  4 La 2.45
C 0.3750 0.6250 0.7500  4 La 2.45
C 0.5000 0.0000 0.0000  6 La 2.71
C 0.5000 0.0000 0.5000  6 La 2.71
C 0.5000 0.5000 0.0000  6 La 2.71
C 0.5000 0.5000 0.5000  6 La 2.71
C 0.6250 0.3750 0.2500  4 La 2.45
C 0.6250 0.7500 0.3750  4 La 2.45
C 0.7500 0.3750 0.6250  4 La 2.45
C 0.7500 0.8750 0.1250  4 La 2.45
C 0.8750 0.1250 0.7500  4 La 2.45
C 0.8750 0.2500 0.1250  4 La 2.45

Calculated values
* total energy: -6.12 eV per atom
* ΔH_f (0 K): -0.271 eV/atom
* crystal system: cubic



Entry 11:
Here is a relaxed structure of AcPrH8Rh2 from Alexandria via LeMat-Bulk. Energies are from PBE.

Lattice parameters (Å, degrees): 7.0174 7.0174 7.0174 41.52 41.52 41.52
Last column: nearest neighbours and their distance in Å.
Element x y z (fractional)
Ac 0.0000 0.0000 0.0000  6 H 2.49
Pr 0.5000 0.5000 0.5000  12 H 2.70
H 0.0268 0.0268 0.6066  1 Rh 1.68
H 0.0268 0.6066 0.0268  1 Rh 1.68
H 0.3172 0.3172 0.3172  1 Rh 1.62
H 0.3934 0.9732 0.9732  1 Rh 1.68
H 0.6066 0.0268 0.0268  1 Rh 1.68
H 0.6828 0.6828 0.6828  1 Rh 1.62
H 0.9732 0.3934 0.9732  1 Rh 1.68
H 0.9732 0.9732 0.3934  1 Rh 1.68
Rh 0.2326 0.2326 0.2326  4 H 1.62-1.68
Rh 0.7674 0.7674 0.7674  4 H 1.62-1.68

Calculated values
* total energy: -4.51 eV per atom
* crystal system: trigonal



Entry 12:
Here is a relaxed structure of SrMoPt from Alexandria via LeMat-Bulk. Energies are from PBE.

Lattice parameters (Å, degrees): 6.8712 6.8712 6.8712 90.00 90.00 90.00
Last column: nearest neighbours and their distance in Å.
Element x y z (fractional)
Sr 0.0000 0.0000 0.0000  4 Mo 2.98, 4 Pt 2.98
Sr 0.0000 0.5000 0.5000  4 Mo 2.98, 4 Pt 2.98
Sr 0.5000 0.0000 0.5000  4 Mo 2.98, 4 Pt 2.98
Sr 0.5000 0.5000 0.0000  4 Mo 2.98, 4 Pt 2.98
Mo 0.2500 0.2500 0.2500  4 Sr 2.98
Mo 0.2500 0.7500 0.7500  4 Sr 2.98
Mo 0.7500 0.2500 0.7500  4 Sr 2.98
Mo 0.7500 0.7500 0.2500  4 Sr 2.98
Pt 0.2500 0.2500 0.7500  4 Sr 2.98
Pt 0.2500 0.7500 0.2500  4 Sr 2.98
Pt 0.7500 0.2500 0.2500  4 Sr 2.98
Pt 0.7500 0.7500 0.7500  4 Sr 2.98

Calculated values
* total energy: -4.83 eV per atom
* ΔH_f (0 K): 1.354 eV/atom
* crystal system: cubic